[1]
Entry from Alexandria via LeMat-Bulk: a relaxed PC2 crystal (GGA-PBE).

Cell lengths 3.8999, 7.9680, 4.1294 Å; angles 90.00, 91.67, 90.00 degrees
Closest atoms and distances in Å follow each position.
Positions (direct):
P (0.0000, 0.0000, 0.0000)  2 C 1.70
P (0.5000, 0.5000, 0.0000)  2 C 1.70
C (0.0000, 0.8848, 0.3473)  1 C 1.26
C (0.0000, 0.8848, 0.6527)  1 C 1.26
C (0.5000, 0.3848, 0.3473)  1 C 1.26
C (0.5000, 0.3848, 0.6527)  1 C 1.26

Results
Space-group type: C2
Crystal system: monoclinic
ΔE to the lowest computed polymorph in eV per atom: 0.861
Calculated formation energy in kcal/mol of atoms: 25.15

[2]
Entry from Alexandria via LeMat-Bulk: a relaxed P2C3 crystal (GGA-PBE).

Cell lengths 2.6369, 4.3866, 11.9466 Å; angles 90.00, 90.00, 90.00 degrees
Closest atoms and distances in Å follow each position.
Positions (direct):
P (0.0000, 0.0000, 0.0000)  1 C 1.77
P (0.0000, 0.0000, 0.4147)  2 C 1.71
P (0.0000, 0.5000, 0.5000)  1 C 1.77
P (0.0000, 0.5000, 0.9147)  2 C 1.71
C (0.0000, 0.0000, 0.1484)  2 C 1.48
C (0.0000, 0.5000, 0.6484)  2 C 1.48
C (0.5000, 0.0000, 0.2051)  3 C 1.42-1.48
C (0.5000, 0.0000, 0.3238)  1 C 1.42
C (0.5000, 0.5000, 0.7051)  3 C 1.42-1.48
C (0.5000, 0.5000, 0.8238)  1 C 1.42

Results
Space-group type: Amm2
Crystal system: orthorhombic
ΔE to the lowest computed polymorph in eV per atom: 0.000
Calculated formation energy in kcal/mol of atoms: 10.43

[3]
Entry from Alexandria via LeMat-Bulk: a relaxed P5C3 crystal (GGA-PBE).

Cell lengths 8.8130, 8.8130, 4.9948 Å; angles 90.65, 90.65, 141.10 degrees
Closest atoms and distances in Å follow each position.
Positions (direct):
P (0.0000, 0.0000, 0.0000)  2 C 1.74-1.85
P (0.1577, 0.5899, 0.1053)  3 C 1.75-1.77
P (0.1607, 0.3155, 0.5133)  2 C 1.81-1.91
P (0.3155, 0.1607, 0.5133)  2 C 1.81-1.91
P (0.3212, 0.8892, 0.6010)  3 C 1.76-1.78
P (0.5084, 0.5084, 0.0433)  1 C 1.89
P (0.5899, 0.1577, 0.1053)  3 C 1.75-1.77
P (0.6677, 0.8065, 0.7814)  3 P 2.19-2.31
P (0.8065, 0.6677, 0.7814)  3 P 2.19-2.31
P (0.8892, 0.3212, 0.6010)  3 C 1.76-1.78
C (0.0732, 0.0732, 0.3410)  3 P 1.74-1.81
C (0.1212, 0.6093, 0.7645)  3 P 1.76-1.78
C (0.2575, 0.2575, 0.7956)  4 P 1.85-1.91
C (0.3662, 0.8753, 0.2633)  3 P 1.75-1.77
C (0.6093, 0.1212, 0.7645)  3 P 1.76-1.78
C (0.8753, 0.3662, 0.2633)  3 P 1.75-1.77

Results
Space-group type: Cm
Crystal system: monoclinic
ΔE to the lowest computed polymorph in eV per atom: 0.000
Calculated formation energy in kcal/mol of atoms: 13.78

| no. | magnetic moment (μB per formula unit) |
| --- | --- |
| 1 | 0.00 |
| 2 | 0.00 |
| 3 | 0.00 |